# Mg2PbC

A geometry-optimized Mg2PbC structure (PBE, Alexandria).

Cell: 7.194 7.194 6.440 Å, 90.00 90.00 90.00°
Space group I-42d (No. 122)
Asymmetric unit:
Mg 0.118 0.250 0.125 x8
Pb 0.000 0.000 0.500 x4
C 0.000 0.000 0.000 x4

Properties
VASP energy	-13.77	eV per formula unit
magnetization	0.0	μB/f.u.
formation energy	0.588	eV per atom
calculated density	5.338	g cm⁻³
Fermi-level density of states	0.465	states/eV/atom